(1)
A plane-wave DFT calculation with PBE was carried out for a relaxed structure of LaSiRh.

Cell and atoms, written as POSCAR:
```
LaSiRh
1.0
-2.882 -2.323 -2.979
-3.286 -2.975 1.711
-4.603 1.155 -0.236
La Rh Si
1 1 1
direct
0.750 0.750 0.750
0.000 0.000 0.000
0.500 0.500 0.500
```

Properties
The uncorrected formation energy comes out at 297 meV per atom. The density comes out at 5.9 g/cm3. As for the space-group type: F-43m. The value obtained for the spin magnetization is 0.000 μB per formula unit.

=====

(2)
A plane-wave DFT calculation with PBE was carried out for a relaxed structure of LaSmSiRh.

Cell and atoms, written as POSCAR:
```
LaSmSiRh
1.0
-3.238 0.858 2.663
-2.691 -0.825 -3.006
1.501 -5.676 0.214
Sm Si La Rh
1 1 1 1
direct
0.139 0.000 0.277
0.570 0.500 0.139
0.861 0.500 0.721
0.431 0.000 0.862
```

Properties
The uncorrected formation energy comes out at -776 meV per atom. The density comes out at 7.2 g/cm3. As for the space-group type: Amm2. The value obtained for the spin magnetization is 0.000 μB per formula unit.

=====

(3)
A plane-wave DFT calculation with PBE was carried out for a relaxed structure of SrLa2SiRh.

Cell and atoms, written as POSCAR:
```
SrLa2SiRh
1.0
-0.684 2.701 5.154
3.830 -1.918 1.513
3.076 4.573 -1.988
La Sr Si Rh
2 1 1 1
direct
0.000 0.000 0.500
0.500 0.000 0.000
0.500 0.500 0.500
0.000 0.000 0.000
0.000 0.500 0.000
```

Properties
The uncorrected formation energy comes out at -151 meV per atom. The density comes out at 5.3 g/cm3. As for the space-group type: P4/mmm. The value obtained for the spin magnetization is 0.000 μB per formula unit.

=====

(4)
A plane-wave DFT calculation with PBE was carried out for a relaxed structure of LaSi2TeRh.

Cell and atoms, written as POSCAR:
```
LaSi2TeRh
1.0
-0.547 -0.869 -5.403
5.935 0.023 -0.605
0.109 -5.430 0.863
Te Rh La Si
1 1 1 2
direct
0.000 0.500 0.000
0.500 0.500 0.500
0.000 0.000 0.000
0.000 0.000 0.500
0.500 0.000 0.000
```

Properties
The uncorrected formation energy comes out at 1485 meV per atom. The density comes out at 3.9 g/cm3. As for the space-group type: P4/mmm. The value obtained for the spin magnetization is 0.943 μB per formula unit.

=====

(5)
A plane-wave DFT calculation with PBE was carried out for a relaxed structure of La2TmSi3Rh4.

Cell and atoms, written as POSCAR:
```
La2TmSi3Rh4
1.0
-3.911 -1.381 -0.568
0.546 -2.803 3.061
-3.610 7.234 7.269
Tm Si La Rh
1 3 2 4
direct
0.500 0.500 0.500
0.500 0.000 0.884
0.000 0.000 0.500
0.000 0.500 0.116
0.500 0.000 0.236
0.000 0.500 0.764
0.500 0.500 0.000
0.000 0.500 0.342
0.500 0.000 0.658
0.000 0.000 0.000
```

Properties
The uncorrected formation energy comes out at -1003 meV per atom. The density comes out at 8.2 g/cm3. As for the space-group type: P-4m2. The value obtained for the spin magnetization is 0.000 μB per formula unit.

=====

(6)
A plane-wave DFT calculation with PBE was carried out for a relaxed structure of La2USiRh6.

Cell and atoms, written as POSCAR:
```
La2USiRh6
1.0
-2.600 5.635 2.736
-2.914 1.450 -5.037
-6.868 1.228 0.525
Rh La Si U
6 2 1 1
direct
0.291 0.194 0.492
0.848 0.826 0.810
0.214 0.685 0.896
0.709 0.806 0.508
0.152 0.174 0.190
0.786 0.315 0.104
0.690 0.276 0.600
0.310 0.724 0.400
0.500 0.500 0.000
0.000 0.000 0.000
```

Properties
The uncorrected formation energy comes out at -631 meV per atom. The density comes out at 9.5 g/cm3. As for the space-group type: P-1. The value obtained for the spin magnetization is 0.000 μB per formula unit.